Material: BeSbIr2
Method: DFT, PBE
State: optimized geometry

Cell: 4.4706 4.4706 3.0327 Å, 90.00 90.00 98.71°
With the nearest neighbours (Å) after each atom.
Positions (direct):
Sb 0.5000 0.0000 0.5000  8 Ir 2.70, 2 Be 2.91
Ir 0.0000 0.0000 0.0000  4 Sb 2.70, 4 Be 2.70, 2 Ir 2.91
Ir 0.5000 0.5000 0.0000  4 Be 2.70, 4 Sb 2.70, 2 Ir 2.91
Be 0.0000 0.5000 0.5000  8 Ir 2.70, 2 Sb 2.91

Computed properties:
The calculation puts the polymorph energy (0 for the lowest one) at 144 meV/atom. The total energy is -25.19 eV/cell. The value obtained for the formation energy from raw total energies is 0.0943 eV/atom. The value obtained for the theoretical density is 14.28 g/cm3.